A:
DFT (PBE) results for crystalline NdDyScZn at its relaxed geometry.

Cell: 3.494 3.494 8.548 Å, 90.00 90.00 90.00°
Fractional coordinates of all 4 atoms:
Nd (0.000, 0.000, 0.000)
Dy (0.500, 0.500, 0.687)
Sc (0.500, 0.500, 0.288)
Zn (0.000, 0.000, 0.463)

Output
Its density of states at the Fermi level is 4.184 states/eV per cell. For the magnetic moment, the calculation gives 0.00 μB per cell. Its calculated density is 6.64 g cm⁻³.

B:
DFT (PBE) results for crystalline NdDyScZn at its relaxed geometry.

Cell: 5.278 5.278 5.278 Å, 60.00 60.00 60.00°
Fractional coordinates of all 4 atoms:
Nd (0.000, 0.000, 0.000)
Dy (0.500, 0.500, 0.500)
Sc (0.250, 0.250, 0.250)
Zn (0.750, 0.750, 0.750)

Output
Its density of states at the Fermi level is 4.782 states/eV per cell. For the magnetic moment, the calculation gives 0.01 μB per cell. Its calculated density is 6.66 g cm⁻³.

Stability, highest: A